[1]
This record from Alexandria describes an optimized crystal structure of Si3AuS. The functional is PBE-GGA.

Output
Magnetization ... 0.00 μB/f.u.
Volume ... 23.0 Å³/atom
Offset from the most stable computed form ... 0.164 eV/atom
ΔE_f (raw) ... 96.5 kJ per mole of atoms

Cell and atoms, written as POSCAR:
```
Si3AuS
1.0
4.861 0.000 0.000
0.000 4.861 0.000
0.000 0.000 4.861
S Au Si
1 1 3
Direct
0.500 0.500 0.500
0.000 0.000 0.000
0.000 0.500 0.000
0.000 0.000 0.500
0.500 0.000 0.000
```

---

[2]
This record from Alexandria describes an optimized crystal structure of P2HSe. The functional is PBE-GGA.

Output
Magnetization ... 0.00 μB/f.u.
Volume ... 14.4 Å³/atom
Offset from the most stable computed form ... 1.021 eV/atom

Cell and atoms, written as POSCAR:
```
P2HSe
1.0
0.000 3.063 3.063
3.063 0.000 3.063
3.063 3.063 0.000
P Se H
2 1 1
Direct
0.250 0.250 0.250
0.750 0.750 0.750
0.500 0.500 0.500
0.000 0.000 0.000
```

---

[3]
This record from Alexandria describes an optimized crystal structure of GdCuAs2. The functional is PBE-GGA.

Output
Magnetization ... 6.88 μB/f.u.
Volume ... 19.3 Å³/atom
Formation energy from the elements ... -3.35 eV/f.u.

Cell and atoms, written as POSCAR:
```
GdCuAs2
1.0
-2.918 1.189 2.372
1.772 -1.751 3.058
4.961 8.362 1.912
Gd Cu As
2 2 4
Direct
0.000 0.500 0.763
0.500 0.000 0.237
0.000 0.000 0.500
0.500 0.500 0.500
0.500 0.500 0.000
0.000 0.000 0.000
0.500 0.000 0.657
0.000 0.500 0.343
```

---

[4]
This record from Alexandria describes an optimized crystal structure of TaTcSN2. The functional is PBE-GGA.

Output
Magnetization ... 4.25 μB/f.u.
Volume ... 16.1 Å³/atom
Offset from the most stable computed form ... 0.000 eV/atom
ΔE_f (raw) ... 55.4 kJ per mole of atoms

Cell and atoms, written as POSCAR:
```
TaTcSN2
1.0
-3.963 -0.097 0.402
0.019 -3.911 -0.758
0.527 -0.959 4.964
S N Tc Ta
1 2 1 1
Direct
0.000 0.000 0.500
0.000 0.500 0.000
0.500 0.000 0.000
0.500 0.500 0.500
0.000 0.000 0.000
```

---

[5]
This record from Alexandria describes an optimized crystal structure of Sm5ErS6. The functional is PBE-GGA.

Output
Magnetization ... 0.00 μB/f.u.
Volume ... 22.4 Å³/atom
ΔE_f (raw) ... -194.4 kJ per mole of atoms

Cell and atoms, written as POSCAR:
```
Sm5ErS6
1.0
-3.199 3.508 4.999
-2.076 -4.361 4.930
4.187 -1.460 5.303
S Sm Er
6 5 1
Direct
0.756 0.082 0.325
0.244 0.594 0.325
0.247 0.243 0.000
0.753 0.757 0.000
0.756 0.406 0.675
0.244 0.918 0.675
0.500 0.171 0.659
0.000 0.332 0.335
0.500 0.500 0.000
0.000 0.668 0.665
0.500 0.829 0.341
0.000 0.000 0.000
```

---

[6]
This record from Alexandria describes an optimized crystal structure of Li3SiO. The functional is PBE-GGA.

Output
Magnetization ... 3.00 μB/f.u.
Volume ... 22.4 Å³/atom
Offset from the most stable computed form ... 1.193 eV/atom
ΔE_f (raw) ... 41.8 kJ per mole of atoms

Cell and atoms, written as POSCAR:
```
Li3SiO
1.0
4.820 0.000 0.000
0.000 4.820 0.000
0.000 0.000 4.820
Si O Li
1 1 3
Direct
0.000 0.000 0.000
0.500 0.500 0.500
0.000 0.500 0.000
0.000 0.000 0.500
0.500 0.000 0.000
```

---

[7]
This record from Alexandria describes an optimized crystal structure of InAgCl2. The functional is PBE-GGA.

Output
Magnetization ... 0.00 μB/f.u.
Volume ... 28.2 Å³/atom
ΔE_f (raw) ... -40.7 kJ per mole of atoms

Cell and atoms, written as POSCAR:
```
InAgCl2
1.0
-8.307 3.314 0.726
-7.285 2.806 4.425
-6.177 5.996 2.532
Cl Ag In
2 1 1
Direct
0.895 0.895 0.895
0.105 0.105 0.105
0.500 0.500 0.500
0.000 0.000 0.000
```

---

[8]
This record from Alexandria describes an optimized crystal structure of Ta3SbS. The functional is PBE-GGA.

Output
Magnetization ... 0.00 μB/f.u.
Volume ... 19.3 Å³/atom
Offset from the most stable computed form ... 0.000 eV/atom
ΔE_f (raw) ... 30.4 kJ per mole of atoms

Cell and atoms, written as POSCAR:
```
Ta3SbS
1.0
-3.717 1.409 2.292
1.662 -1.872 3.846
2.116 3.946 1.006
Sb S Ta
1 1 3
Direct
0.500 0.500 0.500
0.000 0.000 0.000
0.000 0.500 0.000
0.000 0.000 0.500
0.500 0.000 0.000
```